No. 1
29
Lattice="0.000 7.946 7.946 7.946 0.000 7.946 7.946 7.946 0.000" Properties=species:S:1:pos:R:3 comment="Dy16Y6Th7 | the Alexandria database | PBE-GGA | relaxed" total_energy_ev_per_atom=-5.395 mass_density_g_cm3=7.9 formation_energy_ev_per_atom=0.272 dos_at_fermi_per_ev_atom=1.855 pbc="T T T"
Dy 10.392 5.499 5.499
Dy 2.045 2.045 2.045
Dy 5.900 5.900 2.045
Dy 5.900 2.045 5.900
Dy 5.499 5.499 5.499
Dy 10.392 10.392 5.499
Dy 10.392 5.499 10.392
Dy 13.846 9.991 9.991
Dy 2.045 5.900 5.900
Dy 5.499 10.392 5.499
Dy 5.499 5.499 10.392
Dy 10.392 10.392 10.392
Dy 9.991 13.846 9.991
Dy 9.991 9.991 13.846
Dy 13.846 13.846 13.846
Dy 5.499 10.392 10.392
Y 7.946 7.946 4.094
Y 7.946 4.094 7.946
Y 11.798 7.946 7.946
Y 4.094 7.946 7.946
Y 7.946 11.798 7.946
Y 7.946 7.946 11.798
Th 0.000 0.000 0.000
Th 3.973 3.973 0.000
Th 3.973 0.000 3.973
Th 7.946 3.973 3.973
Th 0.000 3.973 3.973
Th 3.973 7.946 3.973
Th 3.973 3.973 7.946



No. 2
19
Lattice="4.480 2.587 4.392 -4.480 2.587 4.392 0.000 -5.173 4.392" Properties=species:S:1:pos:R:3 comment="ErNpZn17 | the Alexandria database | PBE-GGA | relaxed" total_energy_ev_per_atom=-2.197 mass_density_g_cm3=8.2 formation_energy_ev_per_atom=-0.136 dos_at_fermi_per_ev_atom=0.740 pbc="T T T"
Er 0.000 0.000 0.000
Np 0.000 0.000 8.836
Zn -1.328 -2.310 4.419
Zn -2.665 0.005 4.419
Zn -2.304 -1.330 6.811
Zn 0.000 0.000 3.095
Zn 1.328 -2.310 4.419
Zn -1.337 2.305 4.419
Zn 0.000 -2.573 6.623
Zn -2.229 1.287 6.623
Zn 0.000 0.000 5.737
Zn -2.168 -1.252 10.801
Zn 2.665 0.005 4.419
Zn 1.337 2.305 4.419
Zn 2.304 -1.330 6.811
Zn 0.000 2.660 6.811
Zn 2.229 1.287 6.623
Zn 2.168 -1.252 10.801
Zn 0.000 2.503 10.801



What is the formula in the second record? ErNpZn17